(1)
Here is crystalline Ni4Sn2Pt at its relaxed geometry from the Alexandria database. Energies are from PBE.

a b c (Å): 8.9389 5.0709 5.2390
angles (deg): 118.98 90.00 90.00
Closest atoms and distances in Å follow each position.
Fractional coordinates of all 14 atoms:
Ni1 0.7247 0.1260 0.0000  4 Ni 2.47-2.58, 2 Pt 2.54-2.76, 2 Sn 2.59
Ni2 0.7500 0.5536 0.5001  4 Ni 2.47-2.54, 2 Sn 2.57
Ni3 0.7500 0.0536 0.5001  4 Ni 2.47-2.54, 2 Sn 2.57
Ni4 0.2500 0.9464 0.4999  4 Ni 2.47-2.54, 2 Sn 2.57
Ni5 0.2500 0.4464 0.4999  4 Ni 2.47-2.54, 2 Sn 2.57
Ni6 0.2753 0.8740 0.0000  4 Ni 2.47-2.58, 2 Pt 2.54-2.76, 2 Sn 2.59
Ni7 0.2247 0.3740 0.0000  4 Ni 2.47-2.58, 2 Pt 2.54-2.76, 2 Sn 2.59
Ni8 0.7753 0.6260 0.0000  4 Ni 2.47-2.58, 2 Pt 2.54-2.76, 2 Sn 2.59
Sn1 0.5001 0.1646 0.3294  6 Ni 2.57-2.82
Sn2 0.9999 0.6646 0.3294  6 Ni 2.57-2.82
Sn3 0.4999 0.8354 0.6706  6 Ni 2.57-2.82
Sn4 0.0001 0.3354 0.6706  6 Ni 2.57-2.82
Pt1 0.0000 0.0000 0.0000  4 Ni 2.54-2.76
Pt2 0.5000 0.5000 0.0000  4 Ni 2.54-2.76

Space group: Cmce, No. 64

***

(2)
Here is crystalline NiSnPt3 at its relaxed geometry from the Alexandria database. Energies are from PBE.

a b c (Å): 4.6082 4.6082 4.6082
angles (deg): 90.00 90.00 90.00
Closest atoms and distances in Å follow each position.
Fractional coordinates of all 5 atoms:
Pt1 0.5000 0.0000 0.0000  2 Ni 2.30
Pt2 0.0000 0.5000 0.0000  2 Ni 2.30
Pt3 0.0000 0.0000 0.5000  2 Ni 2.30
Ni1 0.0000 0.0000 0.0000  6 Pt 2.30
Sn1 0.5000 0.5000 0.5000  12 Pt 3.26

Space group: Pm-3m, No. 221

***

(3)
Here is crystalline Ni2Sn2Pt at its relaxed geometry from the Alexandria database. Energies are from PBE.

a b c (Å): 7.2415 7.2415 3.1492
angles (deg): 90.00 90.00 90.00
Closest atoms and distances in Å follow each position.
Fractional coordinates of all 10 atoms:
Ni1 0.3691 0.1309 0.5000  6 Sn 2.65, 1 Ni 2.68
Ni2 0.6309 0.8691 0.5000  6 Sn 2.65, 1 Ni 2.68
Ni3 0.1309 0.6309 0.5000  6 Sn 2.65, 1 Ni 2.68
Ni4 0.8691 0.3691 0.5000  6 Sn 2.65, 1 Ni 2.68
Pt1 0.5000 0.5000 0.0000  4 Sn 2.72
Pt2 0.0000 0.0000 0.0000  4 Sn 2.72
Sn1 0.6613 0.1613 0.0000  6 Ni 2.65, 2 Pt 2.72
Sn2 0.8387 0.6613 0.0000  6 Ni 2.65, 2 Pt 2.72
Sn3 0.1613 0.3387 0.0000  6 Ni 2.65, 2 Pt 2.72
Sn4 0.3387 0.8387 0.0000  6 Ni 2.65, 2 Pt 2.72

Space group: P4/mbm, No. 127

***

| no. | DOS(E_F) (states/eV/atom) | E_form (eV/f.u.) |
| --- | --- | --- |
| 1 | 1.05 | 0.0 |
| 2 | 1.75 | 3.1 |
| 3 | 0.12 | -0.6 |